A relaxed NbGaNiOs crystal, computed with PBE.

## Properties
Crystal system: cubic
Magnetization (μB per cell): 2.74
Total DFT energy (no corrections) (eV/atom): -7.439

Lattice parameters (Å, degrees): 6.1796 6.1796 6.1796 90.00 90.00 90.00
With the nearest neighbours (Å) after each atom.
Space group F-43m (No. 216)
Unique sites:
Nb  0.0000  0.0000  0.0000 [4 per cell]  4 Os 2.68, 4 Ga 2.68
Ga  0.2500  0.2500  0.2500 [4 per cell]  4 Nb 2.68, 4 Ni 2.68
Ni  0.0000  0.0000  0.5000 [4 per cell]  4 Os 2.68, 4 Ga 2.68
Os  0.2500  0.2500  0.7500 [4 per cell]  4 Nb 2.68, 4 Ni 2.68